Density functional theory data (PBE) for Hg2TeF6 after structural relaxation.

abc: 6.494 6.494 9.838
angles: 90.00 90.00 90.00
Element x y z (fractional)
Hg (0.000, 0.000, 0.132)
Hg (0.000, 0.000, 0.868)
Hg (0.500, 0.500, 0.368)
Hg (0.500, 0.500, 0.632)
Te (0.000, 0.000, 0.500)
Te (0.500, 0.500, 0.000)
F (0.148, 0.148, 0.334)
F (0.148, 0.148, 0.666)
F (0.222, 0.778, 0.500)
F (0.278, 0.278, 0.000)
F (0.352, 0.648, 0.166)
F (0.352, 0.648, 0.834)
F (0.648, 0.352, 0.166)
F (0.648, 0.352, 0.834)
F (0.722, 0.722, 0.000)
F (0.778, 0.222, 0.500)
F (0.852, 0.852, 0.334)
F (0.852, 0.852, 0.666)

Calculated total energy ... -3.3148 eV/atom
Mass density ... 5.15 Mg/m³